Entry from Alexandria via LeMat-Bulk: TiGaBr2 at its PBEsol-relaxed geometry (SCAN).

a = 6.939 Å, b = 6.939 Å, c = 6.939 Å
α = 90.00°, β = 90.00°, γ = 90.00°
Space group Fm-3m (No. 225)
Unique sites:
Ti 0.000 0.000 0.000 x4
Ga 0.000 0.000 0.500 x4
Br 0.250 0.250 0.250 x8

VASP energy	-71.98	eV per formula unit
total magnetic moment	0.67	μB per atom
N(E_F)	14.504	states/eV per cell